Entry 1:
# Rb2TlAu2Cl6

A relaxed Rb2TlAu2Cl6 crystal (GGA-PBE, the Alexandria database).

Cell and atoms, written as extended XYZ:
```
11
Lattice="7.1797 -3.8447 0.0000 7.1797 3.8447 0.0000 -4.4232 0.0000 6.7185" Properties=species:S:1:pos:R:3 pbc="T T T"
Rb 2.4773 0.0000 1.3650
Rb 7.4589 0.0000 5.3535
Tl -2.2116 0.0000 3.3593
Au 2.8659 0.0000 5.2451
Au 7.0702 0.0000 1.4734
Cl 5.3787 1.8316 1.2854
Cl 0.6971 0.0000 4.2589
Cl 4.5575 1.8316 5.4332
Cl 5.3787 -1.8316 1.2854
Cl 9.2390 0.0000 2.4596
Cl 4.5575 -1.8316 5.4332
```

For the energy relative to the elements, uncorrected, the calculation gives -10.2 eV/f.u. As for the total magnetization: 0.000 μB/atom.

Entry 2:
# Ac2NdAg2

A relaxed Ac2NdAg2 crystal (GGA-PBE, the Alexandria database).

Cell and atoms, written as extended XYZ:
```
10
Lattice="3.3445 -8.3215 0.0000 3.3445 8.3215 0.0000 0.0000 0.0000 6.0558" Properties=species:S:1:pos:R:3 pbc="T T T"
Ac 3.3445 6.9496 4.5419
Ac 3.3445 3.4629 1.5140
Ac 3.3445 -3.4629 4.5419
Ac 3.3445 -6.9496 1.5140
Nd 3.3445 0.0000 0.0000
Nd 3.3445 0.0000 3.0279
Ag 1.5589 2.1000 4.5419
Ag 1.5589 -2.1000 1.5140
Ag 5.1301 2.1000 4.5419
Ag 5.1301 -2.1000 1.5140
```

As for the total magnetization: 0.000 μB/atom. The formation enthalpy at 0 K is -0.025 eV per atom.

Entry 3:
# NdGa2Au

A relaxed NdGa2Au crystal (GGA-PBE, the Alexandria database).

Cell and atoms, written as extended XYZ:
```
4
Lattice="2.1937 1.2665 5.1796 -2.1937 1.2665 5.1796 0.0000 -2.5330 5.1796" Properties=species:S:1:pos:R:3 pbc="T T T"
Nd 0.0000 0.0000 0.0000
Ga 0.0000 0.0000 3.4084
Ga 0.0000 0.0000 12.1303
Au 0.0000 0.0000 7.7694
```

As for the total magnetization: 0.000 μB/atom. The formation enthalpy at 0 K is -0.613 eV per atom.

Entry 4:
# Ca3AgMo

A relaxed Ca3AgMo crystal (GGA-PBE, the Alexandria database).

Cell and atoms, written as extended XYZ:
```
5
Lattice="5.6390 0.0000 0.0000 0.0000 5.6390 0.0000 0.0000 0.0000 5.6390" Properties=species:S:1:pos:R:3 pbc="T T T"
Ca 0.0000 0.0000 2.8195
Ca 0.0000 2.8195 0.0000
Ca 2.8195 0.0000 0.0000
Ag 0.0000 0.0000 0.0000
Mo 2.8195 2.8195 2.8195
```

As for the total magnetization: 0.878 μB/atom. The formation enthalpy at 0 K is 0.772 eV per atom.

Entry 5:
# Ba2AlBi

A relaxed Ba2AlBi crystal (GGA-PBE, the Alexandria database).

Cell and atoms, written as extended XYZ:
```
8
Lattice="-2.9427 2.9427 11.1494 2.9427 -2.9427 11.1494 2.9427 2.9427 -11.1494" Properties=species:S:1:pos:R:3 pbc="T T T"
Ba 4.4141 1.4647 -2.7874
Ba 1.4647 1.4714 2.7874
Ba -1.4714 1.4780 8.3621
Ba 1.4780 1.4714 13.9368
Al 2.9427 0.0000 5.5747
Al 0.0000 0.0000 11.1494
Bi 0.0000 0.0000 0.0000
Bi 0.0000 2.9427 5.5747
```

As for the total magnetization: 0.000 μB/atom. The formation enthalpy at 0 K is 0.054 eV per atom.

Entry 6:
# BaZrAg2

A relaxed BaZrAg2 crystal (GGA-PBE, the Alexandria database).

Cell and atoms, written as extended XYZ:
```
4
Lattice="3.6401 0.0000 0.0000 0.0000 3.6170 0.0000 -0.0246 0.0000 7.9503" Properties=species:S:1:pos:R:3 pbc="T T T"
Ba 0.0000 0.0000 0.0000
Zr -0.0123 0.0000 3.9752
Ag 1.8101 1.8085 2.4648
Ag 1.8053 1.8085 5.4855
```

As for the total magnetization: 0.115 μB/atom. The formation enthalpy at 0 K is 0.010 eV per atom.

Entry 7:
# Li2SiRh

A relaxed Li2SiRh crystal (GGA-PBE, the Alexandria database).

Cell and atoms, written as extended XYZ:
```
4
Lattice="1.4483 -2.1991 0.0000 1.4483 2.1991 0.0000 0.0000 0.0000 8.6795" Properties=species:S:1:pos:R:3 pbc="T T T"
Li 0.0000 0.0000 2.1282
Li 0.0000 0.0000 6.5514
Si 1.4483 0.0000 4.3398
Rh 1.4483 0.0000 0.0000
```

For the energy relative to the elements, uncorrected, the calculation gives -0.3 eV/f.u. As for the total magnetization: 0.014 μB/atom.

Entry 8:
# Cs3Rb2PaSe6

A relaxed Cs3Rb2PaSe6 crystal (GGA-PBE, the Alexandria database).

Cell and atoms, written as extended XYZ:
```
12
Lattice="4.2672 -7.3104 0.0000 4.2672 7.3104 0.0000 -2.8672 0.0000 8.0877" Properties=species:S:1:pos:R:3 pbc="T T T"
Cs 0.0000 0.0000 0.0000
Cs 4.2672 2.5994 0.0000
Cs 4.2672 -2.5994 0.0000
Rb 2.8336 4.8912 4.0438
Rb 2.8336 -4.8912 4.0438
Pa 2.8336 0.0000 4.0438
Se 1.6903 1.9795 2.4354
Se 0.5724 0.0000 5.6680
Se 1.6903 -1.9795 2.4354
Se 3.9769 1.9795 5.6523
Se 5.0948 0.0000 2.4197
Se 3.9769 -1.9795 5.6523
```

For the energy relative to the elements, uncorrected, the calculation gives -13.8 eV/f.u. As for the total magnetization: 0.179 μB/atom.